1.
Entry from Alexandria: an optimized crystal structure of K2Sn2B (PBE).

Computed properties:
ΔH_f (0 K) = 971 meV/atom
density of states at the Fermi level = 6.77 states/eV per cell
magnetic moment = 0.528 μB per formula unit
ρ = 3.01 Mg/m³
energy above the most stable polymorph in this dataset = 0.181 eV/atom
space group = P4/mbm (127)

Cell lengths 10.4192, 10.4192, 3.3213 Å; angles 90.00, 90.00, 90.00 degrees
Positions (direct):
K1 0.2021 0.2979 0.0000
K2 0.2979 0.7979 0.0000
K3 0.7021 0.2021 0.0000
K4 0.7979 0.7021 0.0000
Sn1 0.0949 0.5949 0.5000
Sn2 0.4051 0.0949 0.5000
Sn3 0.5949 0.9051 0.5000
Sn4 0.9051 0.4051 0.5000
B1 0.0000 0.0000 0.0000
B2 0.5000 0.5000 0.0000

=====

2.
Entry from Alexandria: an optimized crystal structure of PmSm3Sn2 (PBE).

Computed properties:
ΔH_f (0 K) = -577 meV/atom
density of states at the Fermi level = 7.23 states/eV per cell
magnetic moment = 0.000 μB per formula unit
ρ = 7.47 Mg/m³
energy above the most stable polymorph in this dataset = 0.000 eV/atom
space group = P-4m2 (115)

Cell lengths 4.6031, 4.6031, 8.7497 Å; angles 90.00, 90.00, 90.00 degrees
Positions (direct):
Pm1 0.0000 0.0000 0.0000
Sm1 0.0000 0.5000 0.3503
Sm2 0.5000 0.0000 0.6497
Sm3 0.5000 0.5000 0.0000
Sn1 0.0000 0.5000 0.7188
Sn2 0.5000 0.0000 0.2812

=====

Number 1: E_tot -24.05 eV/cell. Number 2: E_tot -30.38 eV/cell.